The following is a DFT calculation (GGA+U) of NaMnReO6 after structural relaxation.

Cell lengths 4.769, 4.769, 9.048 Å; angles 90.00, 90.00, 90.00 degrees
Fractional coordinates of all 18 atoms:
Na: 0.000 0.000 0.000
Na: 0.500 0.500 0.500
Mn: 0.000 0.000 0.329
Mn: 0.500 0.500 0.829
Re: 0.000 0.000 0.669
Re: 0.500 0.500 0.169
O: 0.172 0.172 0.497
O: 0.217 0.217 0.800
O: 0.222 0.222 0.186
O: 0.278 0.722 0.686
O: 0.283 0.717 0.300
O: 0.328 0.672 0.997
O: 0.672 0.328 0.997
O: 0.717 0.283 0.300
O: 0.722 0.278 0.686
O: 0.778 0.778 0.186
O: 0.783 0.783 0.800
O: 0.828 0.828 0.497

Values from the calculation:
Space-group type: P4_2nm, No. 102
Total DFT energy (no corrections), eV per atom: -7.10